SbTe2PtBr | PBE-GGA | optimized geometry

The structure in CIF format:
```
data_SbTe2PtBr
_symmetry_space_group_name_H-M 'P 4/m m m'
_symmetry_Int_Tables_number 123
_symmetry_space_group_name_Hall '-P 4 2'
_cell_length_a 5.467
_cell_length_b 5.467
_cell_length_c 5.453
_cell_angle_alpha 90.00
_cell_angle_beta 90.00
_cell_angle_gamma 90.00
loop_
_atom_site_label
_atom_site_type_symbol
_atom_site_fract_x
_atom_site_fract_y
_atom_site_fract_z
Sb1 Sb 0.000 0.000 0.000
Te1 Te 0.000 0.500 0.500
Pt1 Pt 0.500 0.500 0.000
Br1 Br 0.000 0.000 0.500
```

Properties
Formation energy from raw total energies = 1.400 eV per atom
Total moment = 0.783 μB per formula unit
DFT total energy = -2.224 eV per atom